The following is a GGA-PBE calculation of a geometry-optimized Pr12Ga6Co structure, from Alexandria.

Unit cell a=8.301 b=8.301 c=8.301 alpha=92.95 beta=92.95 gamma=92.95
Fractional coordinates of all 19 atoms:
Pr  0.428  0.550  0.192
Pr  0.450  0.808  0.572
Co  0.000  0.000  0.000
Pr  0.808  0.572  0.450
Pr  0.962  0.079  0.318
Pr  0.572  0.450  0.808
Pr  0.192  0.428  0.550
Ga  0.738  0.346  0.146
Pr  0.921  0.682  0.038
Ga  0.654  0.854  0.262
Pr  0.318  0.962  0.079
Ga  0.146  0.738  0.346
Ga  0.854  0.262  0.654
Pr  0.682  0.038  0.921
Ga  0.346  0.146  0.738
Pr  0.079  0.318  0.962
Pr  0.038  0.921  0.682
Ga  0.262  0.654  0.854
Pr  0.550  0.192  0.428

Values from the calculation:
The density comes out at 6.319 Mg/m³.

***

The following is a GGA-PBE calculation of a geometry-optimized PrGa5Co2 structure, from Alexandria.

Unit cell a=4.015 b=6.341 c=6.341 alpha=65.62 beta=71.54 gamma=71.54
Fractional coordinates of all 8 atoms:
Pr  0.000  0.000  0.000
Ga  0.658  0.537  0.146
Ga  0.342  0.854  0.463
Ga  0.658  0.146  0.537
Ga  0.342  0.463  0.854
Co  0.769  0.731  0.731
Ga  0.000  0.500  0.500
Co  0.231  0.269  0.269

Values from the calculation:
The density comes out at 7.406 Mg/m³.

***

The following is a GGA-PBE calculation of a geometry-optimized PrGa8Co2 structure, from Alexandria.

Unit cell a=4.054 b=12.451 c=14.430 alpha=90.00 beta=90.00 gamma=90.00
Fractional coordinates of all 44 atoms:
Ga  0.500  0.159  0.956
Pr  0.500  0.342  0.179
Ga  0.000  0.838  0.878
Ga  0.000  0.672  0.991
Co  0.500  0.846  0.596
Ga  0.000  0.239  0.325
Ga  0.500  0.902  0.752
Pr  0.500  0.658  0.821
Co  0.500  0.654  0.096
Ga  0.000  0.261  0.825
Ga  0.500  0.500  0.000
Co  0.500  0.346  0.904
Co  0.500  0.965  0.904
Ga  0.000  0.023  0.368
Pr  0.500  0.158  0.679
Ga  0.500  0.402  0.748
Ga  0.500  0.341  0.456
Co  0.500  0.535  0.404
Ga  0.000  0.000  0.000
Ga  0.000  0.761  0.675
Ga  0.000  0.162  0.122
Ga  0.000  0.523  0.132
Ga  0.500  0.000  0.500
Ga  0.000  0.328  0.009
Co  0.500  0.154  0.404
Ga  0.000  0.172  0.509
Ga  0.000  0.338  0.622
Ga  0.000  0.477  0.868
Ga  0.000  0.977  0.632
Ga  0.500  0.598  0.252
Ga  0.000  0.549  0.681
Co  0.500  0.465  0.596
Ga  0.500  0.659  0.544
Pr  0.500  0.842  0.321
Ga  0.000  0.739  0.175
Ga  0.000  0.500  0.500
Ga  0.000  0.451  0.319
Ga  0.500  0.098  0.248
Ga  0.000  0.951  0.181
Co  0.500  0.035  0.096
Ga  0.000  0.828  0.491
Ga  0.000  0.049  0.819
Ga  0.000  0.662  0.378
Ga  0.500  0.841  0.044

Values from the calculation:
The excess energy over the best structure of this formula in the dataset comes out at 0.000 eV per atom. The density comes out at 7.446 Mg/m³.

***

The following is a GGA-PBE calculation of a geometry-optimized Pr6Ga2Co structure, from Alexandria.

Unit cell a=7.264 b=7.264 c=11.539 alpha=90.00 beta=90.00 gamma=90.00
Fractional coordinates of all 18 atoms:
Pr  0.253  0.253  0.000
Ga  0.000  0.000  0.625
Pr  0.753  0.247  0.500
Pr  0.800  0.200  0.170
Co  0.500  0.500  0.500
Ga  0.500  0.500  0.875
Ga  0.000  0.000  0.375
Co  0.000  0.000  0.000
Pr  0.247  0.753  0.500
Pr  0.300  0.300  0.670
Pr  0.300  0.300  0.330
Pr  0.747  0.747  0.000
Pr  0.200  0.800  0.170
Pr  0.800  0.200  0.830
Pr  0.200  0.800  0.830
Pr  0.700  0.700  0.670
Ga  0.500  0.500  0.125
Pr  0.700  0.700  0.330

Values from the calculation:
The density comes out at 5.694 Mg/m³.

***

The following is a GGA-PBE calculation of a geometry-optimized PrGa9Co2 structure, from Alexandria.

Unit cell a=3.788 b=7.945 c=7.945 alpha=120.00 beta=90.00 gamma=90.00
Fractional coordinates of all 12 atoms:
Ga  0.500  0.205  0.411
Ga  0.500  0.589  0.795
Ga  0.500  0.795  0.205
Ga  0.000  0.500  0.000
Ga  0.500  0.411  0.205
Ga  0.000  0.000  0.500
Co  0.000  0.333  0.667
Ga  0.500  0.795  0.589
Co  0.000  0.667  0.333
Pr  0.000  0.000  0.000
Ga  0.000  0.500  0.500
Ga  0.500  0.205  0.795

Values from the calculation:
The excess energy over the best structure of this formula in the dataset comes out at 0.000 eV per atom. The density comes out at 7.107 Mg/m³.

***

The following is a GGA-PBE calculation of a geometry-optimized Pr12GaCo5 structure, from Alexandria.

Unit cell a=8.613 b=8.613 c=8.613 alpha=108.27 beta=110.65 gamma=109.50
Fractional coordinates of all 18 atoms:
Pr  0.696  0.319  0.015
Pr  0.304  0.319  0.623
Co  0.000  0.000  0.000
Co  0.500  0.113  0.613
Ga  0.000  0.500  0.500
Pr  0.886  0.186  0.700
Pr  0.304  0.681  0.985
Pr  0.189  0.987  0.798
Co  0.378  0.378  0.000
Co  0.500  0.887  0.387
Pr  0.114  0.814  0.300
Co  0.622  0.622  0.000
Pr  0.811  0.609  0.798
Pr  0.189  0.391  0.202
Pr  0.486  0.186  0.300
Pr  0.514  0.814  0.700
Pr  0.811  0.013  0.202
Pr  0.696  0.681  0.377

Values from the calculation:
The density comes out at 6.943 Mg/m³.

***

The following is a GGA-PBE calculation of a geometry-optimized PrGaCo structure, from Alexandria.

Unit cell a=4.051 b=4.203 c=4.203 alpha=120.00 beta=90.00 gamma=90.00
Fractional coordinates of all 3 atoms:
Pr  0.666  0.333  0.667
Ga  0.166  0.000  0.000
Co  0.167  0.667  0.333

Values from the calculation:
The density comes out at 7.223 Mg/m³.

***

The following is a GGA-PBE calculation of a geometry-optimized PrGa8Co4 structure, from Alexandria.

Unit cell a=5.187 b=6.618 c=6.618 alpha=81.17 beta=66.93 gamma=66.93
Fractional coordinates of all 13 atoms:
Co  0.500  0.000  0.500
Ga  0.274  0.226  0.226
Co  0.500  0.500  0.000
Co  0.000  0.500  0.000
Co  0.000  0.000  0.500
Ga  0.726  0.774  0.774
Pr  0.000  0.000  0.000
Ga  0.657  0.343  0.343
Ga  0.000  0.657  0.343
Ga  0.343  0.657  0.657
Ga  0.000  0.343  0.657
Ga  0.500  0.226  0.774
Ga  0.500  0.774  0.226

Values from the calculation:
The density comes out at 8.069 Mg/m³.

***

The following is a GGA-PBE calculation of a geometry-optimized Pr3GaCo structure, from Alexandria.

Unit cell a=5.264 b=5.264 c=5.264 alpha=90.00 beta=90.00 gamma=90.00
Fractional coordinates of all 5 atoms:
Ga  0.500  0.500  0.500
Pr  0.500  0.000  0.000
Pr  0.000  0.000  0.500
Pr  0.000  0.500  0.000
Co  0.000  0.000  0.000

Values from the calculation:
The excess energy over the best structure of this formula in the dataset comes out at 0.182 eV per atom. The density comes out at 6.278 Mg/m³.

***

The following is a GGA-PBE calculation of a geometry-optimized PrGaCo structure, from Alexandria.

Unit cell a=4.151 b=7.717 c=8.384 alpha=90.00 beta=90.00 gamma=90.00
Fractional coordinates of all 12 atoms:
Co  0.250  0.427  0.047
Ga  0.250  0.731  0.996
Co  0.250  0.073  0.547
Pr  0.250  0.072  0.219
Co  0.750  0.573  0.953
Ga  0.750  0.269  0.004
Ga  0.250  0.769  0.496
Ga  0.750  0.231  0.504
Pr  0.250  0.428  0.719
Pr  0.750  0.572  0.281
Co  0.750  0.927  0.453
Pr  0.750  0.928  0.781

Values from the calculation:
The density comes out at 6.667 Mg/m³.

***

The following is a GGA-PBE calculation of a geometry-optimized PrGaCo structure, from Alexandria.

Unit cell a=4.183 b=4.182 c=7.040 alpha=90.00 beta=90.00 gamma=90.00
Fractional coordinates of all 6 atoms:
Co  0.610  0.373  0.056
Pr  0.610  0.873  0.368
Ga  0.610  0.873  0.878
Ga  0.110  0.373  0.235
Co  0.110  0.873  0.056
Pr  0.110  0.373  0.745

Values from the calculation:
The density comes out at 7.269 Mg/m³.

***

The following is a GGA-PBE calculation of a geometry-optimized Pr4GaCo3 structure, from Alexandria.

Unit cell a=4.210 b=4.192 c=10.720 alpha=90.00 beta=90.00 gamma=90.00
Each line ends with the local moment (μB).
Fractional coordinates of all 8 atoms:
Co  0.000  0.000  0.461  0.96
Co  0.000  0.500  0.552  0.90
Pr  0.000  0.500  0.848  -0.02
Ga  0.500  0.500  0.057  0.01
Co  0.500  0.000  0.932  -0.07
Pr  0.000  0.000  0.138  -0.01
Pr  0.500  0.000  0.646  -0.09
Pr  0.500  0.500  0.366  -0.11

Values from the calculation:
The density comes out at 7.110 Mg/m³.

***

The following is a GGA-PBE calculation of a geometry-optimized Pr3Ga4Co2 structure, from Alexandria.

Unit cell a=4.435 b=5.742 c=8.208 alpha=100.76 beta=90.00 gamma=112.72
Fractional coordinates of all 9 atoms:
Pr  0.386  0.772  0.303
Ga  0.716  0.432  0.090
Ga  0.284  0.568  0.910
Ga  0.890  0.780  0.591
Ga  0.110  0.220  0.409
Pr  0.000  0.000  0.000
Pr  0.614  0.228  0.697
Co  0.307  0.614  0.623
Co  0.693  0.386  0.377

Values from the calculation:
The density comes out at 7.207 Mg/m³.

***

The following is a GGA-PBE calculation of a geometry-optimized Pr2GaCo structure, from Alexandria.

Unit cell a=3.592 b=3.592 c=7.406 alpha=90.00 beta=90.00 gamma=90.00
Each line ends with the local moment (μB).
Fractional coordinates of all 4 atoms:
Ga  0.500  0.500  0.500  0.02
Pr  0.000  0.000  0.769  -0.12
Pr  0.000  0.000  0.231  -0.12
Co  0.500  0.500  0.000  1.16

Values from the calculation:
The density comes out at 7.132 Mg/m³.

***

The following is a GGA-PBE calculation of a geometry-optimized Pr2Ga5Co2 structure, from Alexandria.

Unit cell a=4.534 b=4.534 c=9.121 alpha=90.00 beta=90.00 gamma=90.00
Fractional coordinates of all 9 atoms:
Ga  0.000  0.500  0.235
Ga  0.500  0.000  0.765
Ga  0.500  0.500  0.500
Pr  0.000  0.000  0.500
Pr  0.000  0.000  0.000
Co  0.500  0.500  0.255
Co  0.500  0.500  0.745
Ga  0.000  0.500  0.765
Ga  0.500  0.000  0.235

Values from the calculation:
The density comes out at 6.626 Mg/m³.

***

The following is a GGA-PBE calculation of a geometry-optimized Pr2Ga4Co3 structure, from Alexandria.

Unit cell a=5.400 b=5.400 c=6.916 alpha=101.15 beta=101.15 gamma=120.31
Fractional coordinates of all 9 atoms:
Ga  0.321  0.978  0.299
Co  0.000  0.000  0.000
Co  0.000  0.500  0.000
Ga  0.022  0.679  0.701
Pr  0.373  0.373  0.745
Co  0.500  0.000  0.000
Pr  0.627  0.627  0.255
Ga  0.679  0.022  0.701
Ga  0.978  0.321  0.299

Values from the calculation:
The density comes out at 7.635 Mg/m³.

***

The following is a GGA-PBE calculation of a geometry-optimized Pr2Ga4CoPt3 structure, from Alexandria.

Unit cell a=4.245 b=4.245 c=10.569 alpha=90.00 beta=90.00 gamma=90.00
Fractional coordinates of all 10 atoms:
Pt  0.000  0.000  0.500
Co  0.500  0.500  0.500
Ga  0.000  0.000  0.000
Pt  0.000  0.500  0.136
Pt  0.500  0.000  0.864
Ga  0.500  0.000  0.623
Pr  0.500  0.000  0.255
Pr  0.000  0.500  0.745
Ga  0.500  0.500  0.000
Ga  0.000  0.500  0.377

Values from the calculation:
The density comes out at 10.504 Mg/m³.

***

The following is a GGA-PBE calculation of a geometry-optimized PrGa4CoRh2 structure, from Alexandria.

Unit cell a=4.208 b=4.208 c=9.121 alpha=76.66 beta=76.66 gamma=60.00
Fractional coordinates of all 8 atoms:
Ga  0.595  0.595  0.214
Rh  0.768  0.768  0.695
Ga  0.134  0.134  0.598
Pr  0.000  0.000  0.000
Ga  0.866  0.866  0.402
Co  0.500  0.500  0.500
Ga  0.405  0.405  0.786
Rh  0.232  0.232  0.305

Values from the calculation:
The density comes out at 8.432 Mg/m³.

***

The following is a GGA-PBE calculation of a geometry-optimized PrGa3CoRu structure, from Alexandria.

Unit cell a=5.860 b=7.522 c=6.491 alpha=125.41 beta=90.00 gamma=90.00
Fractional coordinates of all 12 atoms:
Ga  0.500  0.751  0.000
Ga  0.500  0.249  0.000
Pr  0.250  0.726  0.451
Co  0.250  0.991  0.983
Ga  0.000  0.249  0.000
Ga  0.250  0.204  0.408
Ga  0.750  0.796  0.592
Ru  0.750  0.572  0.143
Pr  0.750  0.274  0.549
Ga  0.000  0.751  0.000
Co  0.750  0.009  0.017
Ru  0.250  0.428  0.857

Values from the calculation:
The density comes out at 7.264 Mg/m³.

***

The following is a GGA-PBE calculation of a geometry-optimized PrSmGaCo structure, from Alexandria.

Unit cell a=5.094 b=5.094 c=5.094 alpha=60.00 beta=60.00 gamma=60.00
Each line ends with the local moment (μB).
Fractional coordinates of all 4 atoms:
Ga  0.250  0.250  0.250  0.05
Pr  0.000  0.000  0.000  -0.09
Sm  0.500  0.500  0.500  -0.10
Co  0.750  0.750  0.750  1.34

Values from the calculation:
The excess energy over the best structure of this formula in the dataset comes out at 0.093 eV per atom. The density comes out at 7.460 Mg/m³.

***

The following is a GGA-PBE calculation of a geometry-optimized PrSmGaCo structure, from Alexandria.

Unit cell a=4.301 b=4.175 c=5.696 alpha=90.00 beta=112.18 gamma=90.00
Fractional coordinates of all 4 atoms:
Co  0.432  0.000  0.863
Pr  0.147  0.000  0.295
Ga  0.560  0.500  0.120
Sm  0.861  0.500  0.723

Values from the calculation:
The excess energy over the best structure of this formula in the dataset comes out at 0.000 eV per atom. The density comes out at 7.362 Mg/m³.

***

Across the entries above, ΔH_f (0 K) takes the values -0.269 -0.428 -0.377 -0.047 -0.306 -0.097 -0.330 -0.330 -0.043 -0.267 -0.407 -0.153 -0.466 -0.204 -0.356 -0.339 -0.827 -0.600 -0.297 -0.203 -0.296 eV per atom, respectively.